1.
# Pm2GaGe6 (PBE, optimized geometry)
data_Pm2GaGe6
_chemical_formula_sum 'Pm4 Ga2 Ge12'
_symmetry_space_group_name_H-M 'C 1 m 1'
_symmetry_Int_Tables_number 8
_symmetry_space_group_name_Hall 'C -2y'
_cell_length_a 11.556
_cell_length_b 10.681
_cell_length_c 4.007
_cell_angle_alpha 90.00
_cell_angle_beta 110.17
_cell_angle_gamma 90.00
loop_
_atom_site_label
_atom_site_type_symbol
_atom_site_fract_x
_atom_site_fract_y
_atom_site_fract_z
_atom_site_occupancy
Pm1 Pm 0.000 0.000 0.000 1
Pm2 Pm 0.150 0.500 0.652 1
Ga1 Ga 0.325 0.000 0.314 1
Ge1 Ge 0.001 0.272 0.512 1
Ge2 Ge 0.149 0.229 0.160 1
Ge3 Ge 0.325 0.374 0.324 1
# Energy relative to the elements = -0.160 eV/atom
# Energy = -4.63 eV per atom


2.
# YMn4Al (PBE, optimized geometry)
data_YMn4Al
_chemical_formula_sum 'Y4 Mn16 Al4'
_symmetry_space_group_name_H-M 'F -4 3 m'
_symmetry_Int_Tables_number 216
_symmetry_space_group_name_Hall 'F -4 2 3'
_cell_length_a 6.952
_cell_length_b 6.952
_cell_length_c 6.952
_cell_angle_alpha 90.00
_cell_angle_beta 90.00
_cell_angle_gamma 90.00
loop_
_atom_site_label
_atom_site_type_symbol
_atom_site_fract_x
_atom_site_fract_y
_atom_site_fract_z
_atom_site_occupancy
Y1 Y 0.000 0.000 0.000 1
Mn1 Mn 0.123 0.123 0.623 1
Al1 Al 0.250 0.250 0.250 1
# Energy relative to the elements = 0.046 eV/atom
# Energy = -7.77 eV per atom


3.
# CeNd3Pb4 (PBE, optimized geometry)
data_CeNd3Pb4
_chemical_formula_sum 'Ce2 Nd6 Pb8'
_symmetry_space_group_name_H-M 'C 1 2/m 1'
_symmetry_Int_Tables_number 12
_symmetry_space_group_name_Hall '-C 2y'
_cell_length_a 7.260
_cell_length_b 7.264
_cell_length_c 9.844
_cell_angle_alpha 90.00
_cell_angle_beta 111.56
_cell_angle_gamma 90.00
loop_
_atom_site_label
_atom_site_type_symbol
_atom_site_fract_x
_atom_site_fract_y
_atom_site_fract_z
_atom_site_occupancy
Ce1 Ce 0.000 0.000 0.000 1
Nd1 Nd 0.000 0.500 0.000 1
Nd2 Nd 0.250 0.000 0.501 1
Pb1 Pb 0.125 0.250 0.751 1
# E above lowest polymorph = 0.0 meV/atom
# Energy relative to the elements = -0.483 eV/atom
# Energy = -4.87 eV per atom


4.
# LiNdLuTc (PBE, optimized geometry)
data_LiNdLuTc
_chemical_formula_sum 'Li4 Nd4 Lu4 Tc4'
_symmetry_space_group_name_H-M 'F -4 3 m'
_symmetry_Int_Tables_number 216
_symmetry_space_group_name_Hall 'F -4 2 3'
_cell_length_a 7.014
_cell_length_b 7.014
_cell_length_c 7.014
_cell_angle_alpha 90.00
_cell_angle_beta 90.00
_cell_angle_gamma 90.00
loop_
_atom_site_label
_atom_site_type_symbol
_atom_site_fract_x
_atom_site_fract_y
_atom_site_fract_z
_atom_site_occupancy
Li1 Li 0.000 0.000 0.000 1
Nd1 Nd 0.250 0.250 0.250 1
Lu1 Lu 0.250 0.250 0.750 1
Tc1 Tc 0.000 0.000 0.500 1
# Energy relative to the elements = 0.010 eV/atom
# Energy = -5.38 eV per atom


5.
# Mn2SiIrS (PBE, optimized geometry)
data_Mn2SiIrS
_chemical_formula_sum 'Mn4 Si2 Ir2 S2'
_symmetry_space_group_name_H-M 'I m m 2'
_symmetry_Int_Tables_number 44
_symmetry_space_group_name_Hall 'I 2 -2'
_cell_length_a 3.006
_cell_length_b 3.616
_cell_length_c 12.944
_cell_angle_alpha 90.00
_cell_angle_beta 90.00
_cell_angle_gamma 90.00
loop_
_atom_site_label
_atom_site_type_symbol
_atom_site_fract_x
_atom_site_fract_y
_atom_site_fract_z
_atom_site_occupancy
Mn1 Mn 0.000 0.000 0.000 1
Mn2 Mn 0.000 0.500 0.323 1
Si1 Si 0.000 0.000 0.196 1
Ir1 Ir 0.000 0.000 0.638 1
S1 S 0.000 0.000 0.447 1
# E above lowest polymorph = 72.9 meV/atom
# Energy = -7.57 eV per atom


6.
# Sr2Sb2Te (PBE, optimized geometry)
data_Sr2Sb2Te
_chemical_formula_sum 'Sr4 Sb4 Te2'
_symmetry_space_group_name_H-M 'P 4/m b m'
_symmetry_Int_Tables_number 127
_symmetry_space_group_name_Hall '-P 4 2ab'
_cell_length_a 8.749
_cell_length_b 8.749
_cell_length_c 4.817
_cell_angle_alpha 90.00
_cell_angle_beta 90.00
_cell_angle_gamma 90.00
loop_
_atom_site_label
_atom_site_type_symbol
_atom_site_fract_x
_atom_site_fract_y
_atom_site_fract_z
_atom_site_occupancy
Sr1 Sr 0.179 0.321 0.000 1
Sb1 Sb 0.112 0.612 0.500 1
Te1 Te 0.000 0.000 0.000 1
# E above lowest polymorph = 181.4 meV/atom
# Energy = -3.78 eV per atom


What did the fifth record say?
# Mn2SiIrS (PBE, optimized geometry)
data_Mn2SiIrS
_chemical_formula_sum 'Mn4 Si2 Ir2 S2'
_symmetry_space_group_name_H-M 'I m m 2'
_symmetry_Int_Tables_number 44
_symmetry_space_group_name_Hall 'I 2 -2'
_cell_length_a 3.006
_cell_length_b 3.616
_cell_length_c 12.944
_cell_angle_alpha 90.00
_cell_angle_beta 90.00
_cell_angle_gamma 90.00
loop_
_atom_site_label
_atom_site_type_symbol
_atom_site_fract_x
_atom_site_fract_y
_atom_site_fract_z
_atom_site_occupancy
Mn1 Mn 0.000 0.000 0.000 1
Mn2 Mn 0.000 0.500 0.323 1
Si1 Si 0.000 0.000 0.196 1
Ir1 Ir 0.000 0.000 0.638 1
S1 S 0.000 0.000 0.447 1
# E above lowest polymorph = 72.9 meV/atom
# Energy = -7.57 eV per atom


Which value of energy does entry 4 give? -5.38 eV per atom


Which of these has the highest energy? Sr2Sb2Te


Which of these has the lowest energy? YMn4Al